{
  "formula": "Ba2HPd2Pb2",
  "functional": "PBE",
  "state": "optimized geometry",
  "total_energy_ev_per_atom": -4.101,
  "cell": [[5.865, -2.397, 0.000], [5.865, 2.397, 0.000], [-4.911, 0.000, 6.585]],
  "species": ["Ba", "Ba", "H", "Pd", "Pd", "Pb", "Pb"],
  "fractional_positions": [[0.059, 0.059, 0.325], [0.941, 0.941, 0.675], [0.500, 0.500, 0.500], [0.324, 0.324, 0.267], [0.676, 0.676, 0.733], [0.327, 0.327, 0.913], [0.673, 0.673, 0.087]]
}

=====

{
  "formula": "BaH6Pd2Pb",
  "functional": "PBE",
  "state": "optimized geometry",
  "total_energy_ev_per_atom": -3.820,
  "cell": [[4.294, -6.398, 0.000], [4.294, 6.398, 0.000], [-0.641, 0.000, 4.842]],
  "species": ["Ba", "Ba", "H", "H", "H", "H", "H", "H", "H", "H", "H", "H", "H", "H", "Pd", "Pd", "Pd", "Pd", "Pb", "Pb"],
  "fractional_positions": [[0.173, 0.827, 0.750], [0.827, 0.173, 0.250], [0.019, 0.654, 0.189], [0.154, 0.168, 0.991], [0.168, 0.154, 0.491], [0.169, 0.483, 0.545], [0.346, 0.981, 0.311], [0.483, 0.169, 0.045], [0.517, 0.831, 0.955], [0.654, 0.019, 0.689], [0.831, 0.517, 0.455], [0.832, 0.846, 0.509], [0.846, 0.832, 0.009], [0.981, 0.346, 0.811], [0.187, 0.335, 0.762], [0.335, 0.187, 0.262], [0.665, 0.813, 0.738], [0.813, 0.665, 0.238], [0.398, 0.602, 0.250], [0.602, 0.398, 0.750]]
}

=====

{
  "formula": "Ba2HPdPb",
  "functional": "PBE",
  "state": "optimized geometry",
  "total_energy_ev_per_atom": -3.689,
  "cell": [[6.076, 0.000, 0.000], [0.000, 6.076, 0.000], [0.000, 0.000, 3.825]],
  "species": ["Ba", "Ba", "H", "Pd", "Pb"],
  "fractional_positions": [[0.000, 0.500, 0.000], [0.500, 0.000, 0.000], [0.000, 0.000, 0.000], [0.000, 0.000, 0.500], [0.500, 0.500, 0.500]]
}